No. 1
Density functional theory data (PBE-GGA) for a relaxed structure of SrTiCuTc2.

a = 4.6444 Å, b = 4.9832 Å, c = 4.6444 Å
α = 90.00°, β = 90.00°, γ = 90.00°
Last column: nearest neighbours and their distance in Å.
Fractional positions:
Tc (0.5000, 0.0000, 0.0000)  2 Ti 2.32
Tc (0.0000, 0.0000, 0.5000)  2 Ti 2.32
Cu (0.0000, 0.5000, 0.0000)  2 Ti 2.49
Ti (0.0000, 0.0000, 0.0000)  4 Tc 2.32, 2 Cu 2.49
Sr (0.5000, 0.5000, 0.5000)  4 Cu 3.28, 8 Tc 3.41

Computed properties:
- E_form: 0.80 eV per atom
- Magnetization: 0.49 μB per atom
- E: -6.08 eV per atom



No. 2
Density functional theory data (PBE-GGA) for a relaxed structure of CaTl3P.

a = 5.4266 Å, b = 5.4266 Å, c = 5.4266 Å
α = 90.00°, β = 90.00°, γ = 90.00°
Last column: nearest neighbours and their distance in Å.
Fractional positions:
Tl (0.0000, 0.0000, 0.5000)  2 P 2.71
Tl (0.0000, 0.5000, 0.0000)  2 P 2.71
Tl (0.5000, 0.0000, 0.0000)  2 P 2.71
Ca (0.5000, 0.5000, 0.5000)  12 Tl 3.84
P (0.0000, 0.0000, 0.0000)  6 Tl 2.71

Computed properties:
- E_form: 0.21 eV per atom
- Magnetization: 0.00 μB per atom
- E: -2.69 eV per atom